Material: Ce2ThGa
Method: DFT, PBE-GGA
State: optimized geometry

```
Ce2ThGa
1.0
5.303 0.000 0.000
2.652 4.593 0.000
2.652 1.531 4.330
Ga Ce Th
1 2 1
Direct
0.000 0.000 0.000
0.250 0.250 0.250
0.750 0.750 0.750
0.500 0.500 0.500
```

Computed properties:
The formation enthalpy at 0 K is 0.003 eV per atom. For the relative energy among the computed polymorphs, the calculation gives 5.228 kcal/mol of atoms. Its space-group type is Fm-3m.

---

Material: Ce2ThGa
Method: DFT, PBE-GGA
State: optimized geometry

```
Ce2ThGa
1.0
-3.131 1.663 0.113
-1.045 -2.146 2.623
3.116 5.481 5.727
Ga Ce Th
1 2 1
Direct
0.500 0.500 0.000
0.000 0.000 0.779
0.000 0.000 0.221
0.500 0.500 0.500
```

Computed properties:
The formation enthalpy at 0 K is -0.223 eV per atom. For the relative energy among the computed polymorphs, the calculation gives 0.000 kcal/mol of atoms. Its space-group type is P4/mmm.

---

Material: CeTh2Ga
Method: DFT, PBE-GGA
State: optimized geometry

```
CeTh2Ga
1.0
-4.561 -2.122 1.749
-2.527 -3.664 -2.926
-0.130 -5.073 1.616
Ga Ce Th
1 1 2
Direct
0.500 0.500 0.500
0.000 0.000 0.000
0.250 0.250 0.250
0.750 0.750 0.750
```

Computed properties:
The formation enthalpy at 0 K is -0.011 eV per atom. For the relative energy among the computed polymorphs, the calculation gives 3.990 kcal/mol of atoms. Its space-group type is Fm-3m.

---

Material: Ce9ThGa2
Method: DFT, PBE-GGA
State: optimized geometry

```
Ce9ThGa2
1.0
4.673 0.000 0.000
0.000 4.673 0.000
0.000 0.000 14.243
Ce Th Ga
9 1 2
Direct
0.500 0.500 0.000
0.500 0.500 0.338
0.500 0.500 0.662
0.500 0.000 0.177
0.500 0.000 0.500
0.500 0.000 0.823
0.000 0.500 0.177
0.000 0.500 0.500
0.000 0.500 0.823
0.000 0.000 0.000
0.000 0.000 0.338
0.000 0.000 0.662
```

Computed properties:
The formation enthalpy at 0 K is -0.144 eV per atom. Its space-group type is P4/mmm.

---

Material: Ce4ThGa4
Method: DFT, PBE-GGA
State: optimized geometry

```
Ce4ThGa4
1.0
-0.329 3.836 -4.562
2.877 -6.096 -5.334
-8.086 -2.492 -1.514
Ce Th Ga
8 2 8
Direct
0.369 0.433 0.845
0.869 0.655 0.933
0.369 0.567 0.155
0.131 0.067 0.655
0.631 0.845 0.567
0.131 0.933 0.345
0.869 0.345 0.067
0.631 0.155 0.433
0.000 0.000 0.000
0.500 0.500 0.500
0.601 0.887 0.196
0.601 0.113 0.804
0.101 0.696 0.613
0.899 0.387 0.696
0.899 0.613 0.304
0.399 0.196 0.113
0.399 0.804 0.887
0.101 0.304 0.387
```

Computed properties:
The formation enthalpy at 0 K is -0.226 eV per atom. Its space-group type is P4_2/n.

---

Material: CeTh2Ga
Method: DFT, PBE-GGA
State: optimized geometry

```
CeTh2Ga
1.0
3.977 0.000 0.000
0.000 3.977 0.000
0.000 0.000 6.938
Ga Ce Th
1 1 2
Direct
0.500 0.500 0.000
0.500 0.500 0.500
0.000 0.000 0.769
0.000 0.000 0.231
```

Computed properties:
The formation enthalpy at 0 K is -0.137 eV per atom. For the relative energy among the computed polymorphs, the calculation gives 1.076 kcal/mol of atoms. Its space-group type is P4/mmm.

---

Material: Ce2ThGa6
Method: DFT, PBE-GGA
State: optimized geometry

```
Ce2ThGa6
1.0
-3.290 0.693 2.577
-0.170 -6.389 4.983
3.060 -0.393 7.494
Ce Th Ga
2 1 6
Direct
0.356 0.144 0.144
0.644 0.856 0.856
0.500 0.500 0.500
0.164 0.516 0.156
0.836 0.484 0.844
0.836 0.844 0.484
0.000 0.174 0.826
0.000 0.826 0.174
0.164 0.156 0.516
```

Computed properties:
The formation enthalpy at 0 K is -0.363 eV per atom. For the relative energy among the computed polymorphs, the calculation gives 5.646 kcal/mol of atoms. Its space-group type is Immm.

---

Material: Ce2Th3Ga4
Method: DFT, PBE-GGA
State: optimized geometry

```
Ce2Th3Ga4
1.0
4.601 0.000 0.000
-2.300 5.841 -0.807
0.000 -3.602 8.927
Ce Th Ga
2 3 4
Direct
0.659 0.317 0.319
0.341 0.683 0.681
0.652 0.304 0.687
0.000 0.000 0.000
0.348 0.696 0.313
0.702 0.403 0.033
0.298 0.597 0.967
0.953 0.906 0.603
0.047 0.094 0.397
```

Computed properties:
The formation enthalpy at 0 K is -0.331 eV per atom. Its space-group type is C2/m.

---

Material: Ce3ThGa
Method: DFT, PBE-GGA
State: optimized geometry

```
Ce3ThGa
1.0
-0.433 5.643 -0.898
-1.950 3.774 6.371
5.444 3.915 3.697
Ce Th Ga
6 2 2
Direct
0.200 0.728 0.872
0.200 0.372 0.228
0.800 0.628 0.772
0.800 0.272 0.128
0.500 0.000 0.500
0.000 0.000 0.500
0.500 0.500 0.500
0.500 0.000 0.000
0.975 0.775 0.275
0.025 0.225 0.725
```

Computed properties:
The formation enthalpy at 0 K is -0.002 eV per atom. Its space-group type is Imma.

---

Material: CeTh2Ga2
Method: DFT, PBE-GGA
State: optimized geometry

```
CeTh2Ga2
1.0
-1.416 -3.637 -2.367
4.383 -3.884 -1.054
-0.473 -4.877 3.376
Ce Th Ga
1 2 2
Direct
0.000 0.000 0.000
0.793 0.707 0.707
0.207 0.293 0.293
0.500 0.301 0.699
0.500 0.699 0.301
```

Computed properties:
The formation enthalpy at 0 K is -0.348 eV per atom. Its space-group type is Immm.

---

Material: CeTh2Ga
Method: DFT, PBE-GGA
State: optimized geometry

```
CeTh2Ga
1.0
4.604 0.000 0.000
0.000 4.859 0.000
0.000 0.000 4.859
Ga Ce Th
1 1 2
Direct
0.500 0.000 0.000
0.500 0.500 0.500
0.000 0.000 0.500
0.000 0.500 0.000
```

Computed properties:
The formation enthalpy at 0 K is -0.184 eV per atom. For the relative energy among the computed polymorphs, the calculation gives 0.000 kcal/mol of atoms. Its space-group type is P4/mmm.

---

Material: Ce2ThGa6
Method: DFT, PBE-GGA
State: optimized geometry

```
Ce2ThGa6
1.0
4.229 0.000 0.000
0.000 6.409 -3.700
0.000 0.000 7.401
Ce Th Ga
2 1 6
Direct
0.000 0.333 0.667
0.000 0.667 0.333
0.000 0.000 0.000
0.500 0.334 0.334
0.500 0.666 0.666
0.500 0.000 0.666
0.500 0.666 0.000
0.500 0.334 0.000
0.500 0.000 0.334
```

Computed properties:
The formation enthalpy at 0 K is -0.608 eV per atom. For the relative energy among the computed polymorphs, the calculation gives 0.000 kcal/mol of atoms. Its space-group type is P6/mmm.

---

Material: CeTh4Ga2
Method: DFT, PBE-GGA
State: optimized geometry

```
CeTh4Ga2
1.0
4.983 0.000 0.000
2.491 4.315 0.000
2.491 1.438 9.902
Ce Th Ga
1 4 2
Direct
0.500 0.500 0.500
0.705 0.705 0.886
0.890 0.890 0.331
0.295 0.295 0.114
0.110 0.110 0.669
0.600 0.600 0.200
0.400 0.400 0.800
```

Computed properties:
The formation enthalpy at 0 K is 0.052 eV per atom. Its space-group type is R-3m.

---

Material: CeTh2Ga6
Method: DFT, PBE-GGA
State: optimized geometry

```
CeTh2Ga6
1.0
-2.568 3.088 1.369
-5.873 -4.332 -1.246
3.361 -0.127 6.595
Ce Th Ga
1 2 6
Direct
0.000 0.000 0.000
0.000 0.333 0.667
0.000 0.667 0.333
0.500 0.333 0.333
0.500 0.667 0.667
0.500 0.000 0.667
0.500 0.667 0.000
0.500 0.333 0.000
0.500 0.000 0.333
```

Computed properties:
The formation enthalpy at 0 K is -0.621 eV per atom. Its space-group type is P6/mmm.

---

Material: CeThGa2
Method: DFT, PBE-GGA
State: optimized geometry

```
CeThGa2
1.0
-2.009 2.136 -2.200
-3.659 -0.062 0.226
-1.617 7.350 5.556
Ga Ce Th
2 1 1
Direct
0.749 0.749 0.754
0.251 0.251 0.246
0.000 0.000 0.000
0.500 0.500 0.500
```

Computed properties:
The formation enthalpy at 0 K is -0.241 eV per atom. Its space-group type is R-3m.

---

Material: CeTh2Ga3
Method: DFT, PBE-GGA
State: optimized geometry

```
CeTh2Ga3
1.0
-1.296 4.045 2.406
-7.117 0.379 -4.470
-0.465 -4.405 7.153
Ce Th Ga
2 4 6
Direct
0.250 0.916 0.916
0.750 0.084 0.084
0.750 0.543 0.823
0.250 0.177 0.457
0.250 0.457 0.177
0.750 0.823 0.543
0.000 0.194 0.806
0.500 0.194 0.806
0.250 0.587 0.587
0.750 0.413 0.413
0.500 0.806 0.194
0.000 0.806 0.194
```

Computed properties:
The formation enthalpy at 0 K is -0.310 eV per atom. Its space-group type is Cmcm.

---

Material: Ce2ThGa
Method: DFT, PBE-GGA
State: optimized geometry

```
Ce2ThGa
1.0
3.367 0.000 0.000
1.683 2.916 0.000
1.683 0.972 11.801
Ga Ce Th
1 2 1
Direct
0.000 0.000 0.000
0.087 0.087 0.739
0.913 0.913 0.261
0.500 0.500 0.500
```

Computed properties:
The formation enthalpy at 0 K is 0.200 eV per atom. For the relative energy among the computed polymorphs, the calculation gives 9.769 kcal/mol of atoms. Its space-group type is R-3m.

---

Material: Ce2Th2ZnGa4
Method: DFT, PBE-GGA
State: optimized geometry

```
Ce2Th2ZnGa4
1.0
-2.636 6.066 0.713
-3.631 -4.545 -3.228
0.724 -3.678 5.496
Ce Th Zn Ga
2 2 1 4
Direct
0.000 0.692 0.692
0.000 0.308 0.308
0.500 0.750 0.250
0.500 0.250 0.750
0.000 0.000 0.000
0.000 0.754 0.246
0.508 0.754 0.754
0.000 0.246 0.754
0.492 0.246 0.246
```

Computed properties:
The formation enthalpy at 0 K is -0.204 eV per atom. Its space-group type is I4/mmm.

---

Material: Ce2TiGa
Method: DFT, PBE-GGA
State: optimized geometry

```
Ce2TiGa
1.0
-1.008 -4.105 2.132
4.013 -0.265 1.387
-1.083 2.102 3.536
Ga Ce Ti
1 2 1
Direct
0.500 0.500 0.500
0.000 0.000 0.500
0.000 0.500 0.000
0.500 0.000 0.000
```

Computed properties:
The formation enthalpy at 0 K is -0.194 eV per atom. For the relative energy among the computed polymorphs, the calculation gives 0.000 kcal/mol of atoms. Its space-group type is P4/mmm.

---

Material: Ce2TiGa
Method: DFT, PBE-GGA
State: optimized geometry

```
Ce2TiGa
1.0
-1.668 -2.511 0.227
-0.288 -1.387 2.670
-9.430 4.730 3.153
Ga Ce Ti
1 2 1
Direct
0.500 0.500 0.500
0.085 0.085 0.746
0.915 0.915 0.254
0.000 0.000 0.000
```

Computed properties:
The formation enthalpy at 0 K is 0.070 eV per atom. For the relative energy among the computed polymorphs, the calculation gives 6.080 kcal/mol of atoms. Its space-group type is R-3m.

---

Material: CeTiGa2
Method: DFT, PBE-GGA
State: optimized geometry

```
CeTiGa2
1.0
-0.760 -2.543 -1.470
2.030 -1.391 -1.774
3.420 -6.573 6.472
Ga Ce Ti
2 1 1
Direct
0.742 0.742 0.775
0.258 0.258 0.225
0.500 0.500 0.500
0.000 0.000 0.000
```

Computed properties:
The formation enthalpy at 0 K is -0.244 eV per atom. For the relative energy among the computed polymorphs, the calculation gives 4.677 kcal/mol of atoms. Its space-group type is R-3m.

---

Material: CeTiGa2
Method: DFT, PBE-GGA
State: optimized geometry

```
CeTiGa2
1.0
4.258 0.000 0.000
0.000 4.376 0.000
0.000 0.000 4.376
Ga Ce Ti
2 1 1
Direct
0.000 0.000 0.500
0.000 0.500 0.000
0.500 0.500 0.500
0.500 0.000 0.000
```

Computed properties:
The formation enthalpy at 0 K is -0.269 eV per atom. For the relative energy among the computed polymorphs, the calculation gives 4.093 kcal/mol of atoms. Its space-group type is P4/mmm.

---

Material: CeTiGa2
Method: DFT, PBE-GGA
State: optimized geometry

```
CeTiGa2
1.0
4.268 0.000 0.000
0.000 7.325 0.000
0.000 0.000 10.418
Ce Ti Ga
4 4 8
Direct
0.750 0.703 0.325
0.750 0.203 0.175
0.250 0.297 0.675
0.250 0.797 0.825
0.250 0.042 0.412
0.750 0.958 0.588
0.250 0.542 0.088
0.750 0.458 0.912
0.750 0.785 0.031
0.250 0.215 0.969
0.750 0.285 0.469
0.250 0.715 0.531
0.750 0.091 0.846
0.250 0.409 0.346
0.750 0.591 0.654
0.250 0.909 0.154
```

Computed properties:
The formation enthalpy at 0 K is -0.411 eV per atom. For the relative energy among the computed polymorphs, the calculation gives 0.832 kcal/mol of atoms. Its space-group type is Pnma.

---

Material: Ce2TiGa
Method: DFT, PBE-GGA
State: optimized geometry

```
Ce2TiGa
1.0
5.134 0.000 0.000
2.567 4.446 0.000
2.567 1.482 4.192
Ga Ce Ti
1 2 1
Direct
0.000 0.000 0.000
0.250 0.250 0.250
0.750 0.750 0.750
0.500 0.500 0.500
```

Computed properties:
The formation enthalpy at 0 K is -0.050 eV per atom. For the relative energy among the computed polymorphs, the calculation gives 3.300 kcal/mol of atoms. Its space-group type is Fm-3m.

---

Material: CeTiGa2
Method: DFT, PBE-GGA
State: optimized geometry

```
CeTiGa2
1.0
-0.373 2.753 -1.210
-3.002 -0.411 -0.010
-0.466 3.218 7.467
Ga Ce Ti
2 1 1
Direct
0.000 0.000 0.782
0.000 0.000 0.218
0.500 0.500 0.500
0.500 0.500 0.000
```

Computed properties:
The formation enthalpy at 0 K is -0.447 eV per atom. For the relative energy among the computed polymorphs, the calculation gives 0.000 kcal/mol of atoms. Its space-group type is P4/mmm.

---

Material: Ce2TiGa
Method: DFT, PBE-GGA
State: optimized geometry

```
Ce2TiGa
1.0
3.852 0.000 0.000
0.000 3.852 0.000
0.000 0.000 6.441
Ga Ce Ti
1 2 1
Direct
0.500 0.500 0.000
0.000 0.000 0.770
0.000 0.000 0.230
0.500 0.500 0.500
```

Computed properties:
The formation enthalpy at 0 K is -0.079 eV per atom. For the relative energy among the computed polymorphs, the calculation gives 2.642 kcal/mol of atoms. Its space-group type is P4/mmm.